# LiMg14MnO16 PBE+U optimized geometry
# ΔE to the lowest computed polymorph: 0.0 meV per atom
data_LiMg14MnO16
_cell_length_a 4.2596
_cell_length_b 8.4754
_cell_length_c 8.5315
_cell_angle_alpha 90.00
_cell_angle_beta 90.00
_cell_angle_gamma 90.00
_symmetry_space_group_name_H-M 'P m m m'
_symmetry_Int_Tables_number 47
loop_
_symmetry_equiv_pos_as_xyz
'x,y,z'
'-x,-y,-z'
'-x,-y,z'
'x,y,-z'
'x,-y,-z'
'-x,y,z'
'-x,y,-z'
'x,-y,z'
loop_
_atom_site_label
_atom_site_type_symbol
_atom_site_fract_x
_atom_site_fract_y
_atom_site_fract_z
_atom_site_occupancy
Li1 Li 0.0000 0.0000 0.0000 1
Mg1 Mg 0.0000 0.0000 0.5000 1
Mg2 Mg 0.0000 0.2447 0.2507 1
Mg3 Mg 0.0000 0.5000 0.5000 1
Mg4 Mg 0.5000 0.0000 0.2444 1
Mg5 Mg 0.5000 0.2417 0.0000 1
Mg6 Mg 0.5000 0.2479 0.5000 1
Mg7 Mg 0.5000 0.5000 0.2520 1
Mn1 Mn 0.0000 0.5000 0.0000 1
O1 O 0.0000 0.0000 0.2544 1
O2 O 0.0000 0.2526 0.5000 1
O3 O 0.0000 0.2704 0.0000 1
O4 O 0.0000 0.5000 0.2494 1
O5 O 0.5000 0.0000 0.0000 1
O6 O 0.5000 0.0000 0.5000 1
O7 O 0.5000 0.2515 0.2487 1
O8 O 0.5000 0.5000 0.0000 1
O9 O 0.5000 0.5000 0.5000 1